ZnTe2As2: optimized geometry, PBE.

Properties
For the calculated total energy, the calculation gives -31.64 eV/cell. As for the space-group type: P4/mbm.

abc: 8.0231 8.0231 4.0347
angles: 90.00 90.00 90.00
Fractional coordinates of all 10 atoms:
Zn (0.0000, 0.0000, 0.0000)
Zn (0.5000, 0.5000, 0.0000)
Te (0.1515, 0.3485, 0.5000)
Te (0.3485, 0.8485, 0.5000)
Te (0.6515, 0.1515, 0.5000)
Te (0.8485, 0.6515, 0.5000)
As (0.1917, 0.6917, 0.0000)
As (0.3083, 0.1917, 0.0000)
As (0.6917, 0.8083, 0.0000)
As (0.8083, 0.3083, 0.0000)